1.
# NbSBr PBE-GGA relaxed
# DOS at the Fermi energy (states/eV per cell): 5.36
# Formation energy from raw total energies (eV per atom): -0.852
# M_tot (μB/cell): 0.0
data_NbSBr
_chemical_formula_sum 'Nb4 S4 Br4'
_cell_length_a 7.134
_cell_length_b 6.375
_cell_length_c 6.966
_cell_angle_alpha 90.00
_cell_angle_beta 118.99
_cell_angle_gamma 90.00
_symmetry_space_group_name_H-M 'P 1 21/c 1'
_symmetry_Int_Tables_number 14
_symmetry_space_group_name_Hall '-P 2ybc'
loop_
_atom_site_label
_atom_site_type_symbol
_atom_site_fract_x
_atom_site_fract_y
_atom_site_fract_z
_atom_site_occupancy
Nb1 Nb 0.196 0.019 0.201 1
S1 S 0.103 0.195 0.864 1
Br1 Br 0.385 0.671 0.113 1


2.
# NbS2Br PBE-GGA relaxed
# DOS at the Fermi energy (states/eV per cell): 2.25
# Formation energy from raw total energies (eV per atom): -0.598
# M_tot (μB/cell): 0.0
# Relative energy among the computed polymorphs (eV per atom): 0.065
data_NbS2Br
_chemical_formula_sum 'Nb3 S6 Br3'
_cell_length_a 3.4793
_cell_length_b 3.4793
_cell_length_c 24.2299
_cell_angle_alpha 90.00
_cell_angle_beta 90.00
_cell_angle_gamma 120.00
_symmetry_space_group_name_H-M 'R -3 m'
_symmetry_Int_Tables_number 166
_symmetry_space_group_name_Hall '-R 3 2"'
loop_
_atom_site_label
_atom_site_type_symbol
_atom_site_fract_x
_atom_site_fract_y
_atom_site_fract_z
_atom_site_occupancy
Nb1 Nb 0.0000 0.0000 0.0000 1
S1 S 0.0000 0.0000 0.3951 1
Br1 Br 0.0000 0.0000 0.5000 1


3.
# NbSBr3 PBE-GGA relaxed
# DOS at the Fermi energy (states/eV per cell): 7.27
# Formation energy from raw total energies (eV per atom): 0.851
# M_tot (μB/cell): 3.6
# Relative energy among the computed polymorphs (eV per atom): 1.712
data_NbSBr3
_chemical_formula_sum 'Nb1 S1 Br3'
_cell_length_a 5.165
_cell_length_b 5.165
_cell_length_c 5.165
_cell_angle_alpha 90.00
_cell_angle_beta 90.00
_cell_angle_gamma 90.00
_symmetry_space_group_name_H-M 'P m -3 m'
_symmetry_Int_Tables_number 221
_symmetry_space_group_name_Hall '-P 4 2 3'
loop_
_atom_site_label
_atom_site_type_symbol
_atom_site_fract_x
_atom_site_fract_y
_atom_site_fract_z
_atom_site_occupancy
Nb1 Nb 0.000 0.000 0.000 1
S1 S 0.500 0.500 0.500 1
Br1 Br 0.000 0.500 0.500 1